This record from the Alexandria database describes a relaxed Tl2CoBr crystal. The functional is PBEsol.

Results
calculated volume	23.5	Å³/atom
raw formation energy	2.043	eV per formula unit
size of the total moment	3.94	μB per cell
calculated density	9.67	g cm⁻³
E above lowest polymorph	33.3	kJ/mol of atoms
crystal system	tetragonal

Geometry as CIF:
```
data_Tl2CoBr
_chemical_formula_sum 'Tl4 Co2 Br2'
_symmetry_space_group_name_H-M 'I 4/m m m'
_symmetry_Int_Tables_number 139
_symmetry_space_group_name_Hall '-I 4 2'
_cell_length_a 4.4151
_cell_length_b 4.4151
_cell_length_c 9.6445
_cell_angle_alpha 90.00
_cell_angle_beta 90.00
_cell_angle_gamma 90.00
loop_
_atom_site_label
_atom_site_type_symbol
_atom_site_fract_x
_atom_site_fract_y
_atom_site_fract_z
_atom_site_occupancy
Tl1 Tl 0.0000 0.5000 0.2500 1
Co1 Co 0.0000 0.0000 0.0000 1
Br1 Br 0.0000 0.0000 0.5000 1
```